Material: K4CoP2O8
Method: DFT, PBE+U
State: relaxed

Lattice parameters (Å, degrees): 5.567 5.824 7.350 87.07 78.15 80.98
Fractional positions:
1 K 0.138 0.184 0.354
2 K 0.233 0.720 0.000
3 K 0.767 0.280 0.000
4 K 0.862 0.816 0.646
5 Co 0.500 0.500 0.500
6 P 0.331 0.220 0.765
7 P 0.669 0.780 0.235
8 O 0.186 0.431 0.666
9 O 0.270 0.245 0.977
10 O 0.278 0.989 0.703
11 O 0.391 0.739 0.316
12 O 0.609 0.261 0.684
13 O 0.722 0.011 0.297
14 O 0.730 0.755 0.023
15 O 0.814 0.569 0.334

Output
Raw total energy: -6.06 eV per atom
Magnetic moment: 3.00 Bohr magnetons per cell